i.
{"formula": "Y2SiP2", "functional": "GGA-PBE", "state": "optimized geometry", "lattice": [[-4.2447, -5.6632, -1.4051], [0.2904, -1.9405, 6.9437], [-3.1509, 2.1780, 0.7405]], "species": ["P", "P", "P", "P", "Y", "Y", "Y", "Y", "Si", "Si"], "frac_coords": [[0.3492, 0.8492, 0.0000], [0.1508, 0.3492, 0.0000], [0.8492, 0.6508, 0.0000], [0.6508, 0.1508, 0.0000], [0.8382, 0.3382, 0.5000], [0.6618, 0.8382, 0.5000], [0.1618, 0.6618, 0.5000], [0.3382, 0.1618, 0.5000], [0.0000, 0.0000, 0.0000], [0.5000, 0.5000, 0.0000]]}


ii.
{"formula": "Y2SiP2", "functional": "GGA-PBE", "state": "optimized geometry", "lattice": [[-2.7180, 2.7180, 3.7932], [2.7180, -2.7180, 3.7932], [2.7180, 2.7180, -3.7932]], "species": ["Si", "Y", "Y", "P", "P"], "frac_coords": [[0.0000, 0.0000, 0.0000], [0.7500, 0.2500, 0.5000], [0.2500, 0.7500, 0.5000], [0.6809, 0.6809, 0.0000], [0.3191, 0.3191, 0.0000]]}


The structure with the most favorable energy is i; the runner-up is 0.169 eV/atom above it.


i.
{"formula": "YSi3P", "functional": "GGA-PBE", "state": "optimized geometry", "lattice": [[4.6369, 0.0000, 0.0000], [0.0000, 4.6369, 0.0000], [0.0000, 0.0000, 4.6369]], "species": ["Si", "Si", "Si", "P", "Y"], "frac_coords": [[0.0000, 0.0000, 0.5000], [0.0000, 0.5000, 0.0000], [0.5000, 0.0000, 0.0000], [0.0000, 0.0000, 0.0000], [0.5000, 0.5000, 0.5000]]}


ii.
{"formula": "YSi3P", "functional": "GGA-PBE", "state": "optimized geometry", "lattice": [[5.2819, 0.0000, 0.0000], [0.0000, 5.2819, 0.0000], [0.0000, 0.0000, 5.2819]], "species": ["Si", "Si", "Si", "Y", "P"], "frac_coords": [[0.5000, 0.0000, 0.0000], [0.0000, 0.5000, 0.0000], [0.0000, 0.0000, 0.5000], [0.0000, 0.0000, 0.0000], [0.5000, 0.5000, 0.5000]]}


The structure with the most favorable energy is i; the runner-up is 1.268 eV/atom above it.